Record 1
This record from Alexandria via LeMat-Bulk describes an optimized crystal structure of CdAg2Pd2Au. The functional is PBE.

The structure in extended XYZ format:
```
12
Lattice="4.0709 0.0000 0.0000 0.0000 8.7608 0.0000 0.0000 0.0000 5.8173" Properties=species:S:1:pos:R:3 pbc="T T T"
Cd 0.0000 0.0309 0.0000
Cd 0.0000 8.7299 2.9086
Ag 0.0000 2.9504 2.8310
Ag 0.0000 5.8103 5.7396
Ag 2.0355 4.3446 1.3778
Ag 2.0355 4.4161 4.2864
Pd 0.0000 2.9173 5.7671
Pd 0.0000 5.8434 2.8584
Pd 2.0355 1.4378 1.4414
Pd 2.0355 7.3230 4.3501
Au 2.0355 1.5209 4.3512
Au 2.0355 7.2398 1.4425
```

Calculated values
mass density = 11.8 Mg/m³
space group = Pmc2_1, No. 26


Record 2
This record from Alexandria via LeMat-Bulk describes an optimized crystal structure of Cd5Ag2Pd2Au. The functional is PBE.

The structure in extended XYZ format:
```
20
Lattice="10.0429 0.0000 0.0000 0.0000 10.0429 0.0000 0.0000 0.0000 3.9783" Properties=species:S:1:pos:R:3 pbc="T T T"
Cd 0.0000 5.0214 0.0000
Cd 1.0539 1.8241 0.0000
Cd 1.8241 8.9889 0.0000
Cd 3.1973 3.9675 0.0000
Cd 3.9675 6.8455 0.0000
Cd 5.0214 0.0000 0.0000
Cd 6.0754 3.1973 0.0000
Cd 6.8455 6.0754 0.0000
Cd 8.2188 1.0539 0.0000
Cd 8.9889 8.2188 0.0000
Ag 1.6244 6.6458 1.9892
Ag 3.3970 1.6244 1.9892
Ag 6.6458 8.4185 1.9892
Ag 8.4185 3.3970 1.9892
Pd 1.3087 3.7127 1.9892
Pd 3.7127 8.7342 1.9892
Pd 6.3301 1.3087 1.9892
Pd 8.7342 6.3301 1.9892
Au 0.0000 0.0000 1.9892
Au 5.0214 5.0214 1.9892
```

Calculated values
mass density = 9.8 Mg/m³
space group = P4/mbm, No. 127


Record 3
This record from Alexandria via LeMat-Bulk describes an optimized crystal structure of CdAg2PdAu. The functional is PBE.

The structure in extended XYZ format:
```
10
Lattice="2.6840 -6.9037 0.0000 2.6840 6.9037 0.0000 0.0000 0.0000 5.3783" Properties=species:S:1:pos:R:3 pbc="T T T"
Cd 2.6840 3.4726 4.0337
Cd 2.6840 -3.4726 1.3446
Ag 1.3484 0.0000 0.0000
Ag 1.3484 0.0000 2.6891
Ag 4.0195 0.0000 0.0000
Ag 4.0195 0.0000 2.6891
Pd 2.6840 2.1256 1.3446
Pd 2.6840 -2.1256 4.0337
Au 2.6840 4.7954 1.3446
Au 2.6840 -4.7954 4.0337
```

Calculated values
mass density = 10.5 Mg/m³
space group = Cmcm, No. 63


Record 4
This record from Alexandria via LeMat-Bulk describes an optimized crystal structure of Pm2CdAgAu4. The functional is PBE.

The structure in extended XYZ format:
```
8
Lattice="2.5056 1.4466 8.1076 -2.5056 1.4466 8.1076 0.0000 -2.8932 8.1076" Properties=species:S:1:pos:R:3 pbc="T T T"
Pm 0.0000 0.0000 6.0483
Pm 0.0000 0.0000 18.2746
Cd 0.0000 0.0000 0.0000
Ag 0.0000 0.0000 12.1614
Au 0.0000 0.0000 3.0125
Au 0.0000 0.0000 9.1317
Au 0.0000 0.0000 15.1912
Au 0.0000 0.0000 21.3104
```

Calculated values
mass density = 12.2 Mg/m³
space group = R-3m, No. 166


Record 5
This record from Alexandria via LeMat-Bulk describes an optimized crystal structure of Pr4CdAg2Au. The functional is PBE.

The structure in extended XYZ format:
```
8
Lattice="2.6848 1.5501 8.7616 -2.6848 1.5501 8.7616 0.0000 -3.1001 8.7616" Properties=species:S:1:pos:R:3 pbc="T T T"
Pr 0.0000 0.0000 3.1609
Pr 0.0000 0.0000 9.7450
Pr 0.0000 0.0000 16.5399
Pr 0.0000 0.0000 23.1240
Cd 0.0000 0.0000 13.1425
Ag 0.0000 0.0000 6.3821
Ag 0.0000 0.0000 19.9029
Au 0.0000 0.0000 0.0000
```

Calculated values
mass density = 8.3 Mg/m³
space group = R-3m, No. 166


Record 6
This record from Alexandria via LeMat-Bulk describes an optimized crystal structure of Cd2AgPtAu8. The functional is PBE.

The structure in extended XYZ format:
```
12
Lattice="-4.0134 4.0134 4.8731 4.0134 -4.0134 4.8731 4.0134 4.0134 -4.8731" Properties=species:S:1:pos:R:3 pbc="T T T"
Cd 0.0000 0.0000 0.0000
Cd 0.0000 4.0134 2.4366
Ag 4.0134 0.0000 2.4366
Pt 0.0000 0.0000 4.8731
Au 4.0134 1.3478 -0.0482
Au 2.6802 4.0134 -2.4188
Au 1.3332 0.0000 2.4543
Au 1.3478 4.0134 0.0482
Au 2.6656 0.0000 4.9213
Au 4.0134 2.6802 2.4188
Au 0.0000 2.6656 4.8250
Au 0.0000 1.3332 7.2920
```

Calculated values
mass density = 11.1 Mg/m³
space group = I-4m2, No. 119


Record 7
This record from Alexandria via LeMat-Bulk describes an optimized crystal structure of Cd2AgPt2Au2. The functional is PBE.

The structure in extended XYZ format:
```
7
Lattice="4.6410 -2.0499 0.0000 4.6410 2.0499 0.0000 -0.8972 0.0000 6.5438" Properties=species:S:1:pos:R:3 pbc="T T T"
Cd 0.5196 0.0000 1.3671
Cd 7.8652 0.0000 5.1767
Ag 4.1924 0.0000 3.2719
Pt 3.2696 0.0000 0.4806
Pt 5.1152 0.0000 6.0633
Au 1.3897 0.0000 4.2394
Au 6.9951 0.0000 2.3044
```

Calculated values
mass density = 14.9 Mg/m³
space group = C2/m, No. 12


Record 8
This record from Alexandria via LeMat-Bulk describes an optimized crystal structure of CdAgPtAu. The functional is PBE.

The structure in extended XYZ format:
```
4
Lattice="4.1004 0.0000 0.0000 0.0000 4.1407 0.0000 0.0000 0.0000 4.1617" Properties=species:S:1:pos:R:3 pbc="T T T"
Cd 0.0000 0.0000 0.0000
Ag 2.0502 0.0000 2.0808
Pt 2.0502 2.0704 0.0000
Au 0.0000 2.0704 2.0808
```

Calculated values
mass density = 14.4 Mg/m³
space group = Pmmm, No. 47


For the records above, the corresponding formation energy from the elements values read -157 -135 62 -610 -393 291 -149 -174 meV per atom.